# ZrNb3Os PBE optimized geometry
# ΔE_f   0.0202 eV/atom
# Crystal system   orthorhombic
# Calculated volume   19.19 Å³ per atom
data_ZrNb3Os
_cell_length_a 9.719
_cell_length_b 4.601
_cell_length_c 8.581
_cell_angle_alpha 90.00
_cell_angle_beta 90.00
_cell_angle_gamma 90.00
_symmetry_space_group_name_H-M 'P n m a'
_symmetry_Int_Tables_number 62
loop_
_symmetry_equiv_pos_as_xyz
'x,y,z'
'-x,-y,-z'
'-x+1/2,-y,z+1/2'
'x+1/2,y,-z+1/2'
'x+1/2,-y+1/2,-z+1/2'
'-x+1/2,y+1/2,z+1/2'
'-x,y+1/2,-z'
'x,-y+1/2,z'
loop_
_atom_site_label
_atom_site_fract_x
_atom_site_fract_y
_atom_site_fract_z
Zr1 0.184 0.250 0.034
Nb1 0.033 0.250 0.412
Nb2 0.078 0.750 0.228
Nb3 0.166 0.750 0.840
Os1 0.168 0.250 0.676

# ZrNb2Os PBE optimized geometry
# ΔE_f   -0.1068 eV/atom
# Crystal system   tetragonal
# Calculated volume   18.14 Å³ per atom
data_ZrNb2Os
_cell_length_a 3.233
_cell_length_b 3.233
_cell_length_c 6.942
_cell_angle_alpha 90.00
_cell_angle_beta 90.00
_cell_angle_gamma 90.00
_symmetry_space_group_name_H-M 'P 4/m m m'
_symmetry_Int_Tables_number 123
_symmetry_space_group_name_Hall '-P 4 2'
loop_
_atom_site_label
_atom_site_fract_x
_atom_site_fract_y
_atom_site_fract_z
Zr1 0.000 0.000 0.000
Nb1 0.500 0.500 0.271
Os1 0.000 0.000 0.500

# ZrNb2Os2 PBE optimized geometry
# ΔE_f   -0.0683 eV/atom
# Crystal system   tetragonal
# Calculated volume   17.95 Å³ per atom
data_ZrNb2Os2
_cell_length_a 7.613
_cell_length_b 7.613
_cell_length_c 3.098
_cell_angle_alpha 90.00
_cell_angle_beta 90.00
_cell_angle_gamma 90.00
_symmetry_space_group_name_H-M 'P 4/m b m'
_symmetry_Int_Tables_number 127
_symmetry_space_group_name_Hall '-P 4 2ab'
loop_
_atom_site_label
_atom_site_fract_x
_atom_site_fract_y
_atom_site_fract_z
Zr1 0.000 0.000 0.000
Nb1 0.161 0.339 0.500
Os1 0.137 0.637 0.000

# ZrNbOs2 PBE optimized geometry
# ΔE_f   -0.2991 eV/atom
# Crystal system   orthorhombic
# Calculated volume   17.02 Å³ per atom
data_ZrNbOs2
_cell_length_a 4.522
_cell_length_b 3.332
_cell_length_c 9.036
_cell_angle_alpha 90.00
_cell_angle_beta 90.00
_cell_angle_gamma 90.00
_symmetry_space_group_name_H-M 'P m m a'
_symmetry_Int_Tables_number 51
loop_
_symmetry_equiv_pos_as_xyz
'x,y,z'
'-x,-y,-z'
'-x+1/2,-y,z'
'x+1/2,y,-z'
'x+1/2,-y,-z'
'-x+1/2,y,z'
'-x,y,-z'
'x,-y,z'
loop_
_atom_site_label
_atom_site_fract_x
_atom_site_fract_y
_atom_site_fract_z
Zr1 0.250 0.000 0.129
Nb1 0.250 0.000 0.621
Os1 0.250 0.500 0.381
Os2 0.250 0.500 0.868